1.
Compound: VRh3F
Source: the Alexandria database
Functional: PBE with a Hubbard U
Structure: optimized geometry

Unit cell a=4.5563 b=4.5563 c=4.5563 alpha=90.00 beta=90.00 gamma=90.00
Atoms (fractional coordinates):
Rh1 0.0000 0.5000 0.0000
F1 0.5000 0.5000 0.5000
Rh2 0.5000 0.0000 0.0000
Rh3 0.0000 0.0000 0.5000
V1 0.0000 0.0000 0.0000

The uncorrected energy is -5.07 eV per atom.

2.
Compound: V2RhF
Source: the Alexandria database
Functional: PBE with a Hubbard U
Structure: optimized geometry

Unit cell a=4.3653 b=4.3653 c=4.3653 alpha=60.00 beta=60.00 gamma=60.00
Atoms (fractional coordinates):
Rh1 0.5000 0.5000 0.5000
V1 0.2500 0.2500 0.2500
V2 0.7500 0.7500 0.7500
F1 0.0000 0.0000 0.0000

The uncorrected energy is -5.79 eV per atom.

3.
Compound: VRhF6
Source: the Alexandria database
Functional: PBE with a Hubbard U
Structure: optimized geometry

Unit cell a=5.4860 b=5.1826 c=5.1826 alpha=60.05 beta=91.28 gamma=88.72
Atoms (fractional coordinates):
F1 0.7409 0.0212 0.7354
F2 0.2412 0.3057 0.7358
F3 0.2591 0.7354 0.0212
Rh1 0.0000 0.0207 0.0207
V1 0.5000 0.0208 0.0208
F4 0.7409 0.3061 0.0204
F5 0.7588 0.7358 0.3057
F6 0.2591 0.0204 0.3061

The uncorrected energy is -5.28 eV per atom.

Number 1: magnetic moment 1.08 μB/f.u.. Number 2: magnetic moment 5.86 μB/f.u.. Number 3: magnetic moment 1.99 μB/f.u..